PBE-GGA K2Na5HgAu2, relaxed; volume = 636.7 Å³ per cell; energy of formation = -0.18 eV per atom; E = -1.740 eV per atom; SG = P4/mbm; crystal system = tetragonal
1.0
11.8385 0.0000 0.0000
0.0000 11.8385 0.0000
0.0000 0.0000 4.5429
K Na Hg Au
4 10 2 4
Direct
0.1734 0.3266 0.0000
0.3266 0.8266 0.0000
0.6734 0.1734 0.0000
0.8266 0.6734 0.0000
0.0000 0.5000 0.5000
0.0667 0.7953 0.5000
0.2047 0.0667 0.5000
0.2953 0.5667 0.5000
0.4333 0.2953 0.5000
0.5000 0.0000 0.5000
0.5667 0.7047 0.5000
0.7047 0.4333 0.5000
0.7953 0.9333 0.5000
0.9333 0.2047 0.5000
0.0000 0.0000 0.0000
0.5000 0.5000 0.0000
0.1219 0.6219 0.0000
0.3781 0.1219 0.0000
0.6219 0.8781 0.0000
0.8781 0.3781 0.0000